Record 1
VASP calculation (GGA-PBE) on a geometry-optimized Ti4V2Rh structure.

Values from the calculation:
relative energy among the computed polymorphs: 76.74 kJ/mol of atoms
ΔE_f: 0.700 eV/atom
space-group type: I4/mmm (139)

Lattice parameters (Å, degrees): 4.701 4.701 6.795 69.76 69.76 90.00
Last column: magnetic moment on the atom in μB.
Element x y z (fractional)
Ti  0.210  0.210  0.580  0.02
Ti  0.790  0.790  0.420  0.02
Ti  0.000  0.500  0.000  0.21
Ti  0.500  0.000  0.000  0.21
Rh  0.000  0.000  0.000  0.02
V  0.386  0.386  0.227  0.50
V  0.614  0.614  0.773  0.50

Record 2
VASP calculation (GGA-PBE) on a geometry-optimized LiCd2SnSe4 structure.

Values from the calculation:
space-group type: Pmn2_1 (31)

Lattice parameters (Å, degrees): 7.096 7.598 8.672 90.00 90.00 90.00
Element x y z (fractional)
Li  0.003  0.157  0.500
Li  0.503  0.843  0.000
Cd  0.500  0.333  0.251
Cd  0.500  0.333  0.749
Cd  0.000  0.667  0.751
Cd  0.000  0.667  0.249
Sn  0.495  0.824  0.500
Sn  0.995  0.176  0.000
Se  0.381  0.159  0.000
Se  0.881  0.841  0.500
Se  0.365  0.162  0.500
Se  0.865  0.838  0.000
Se  0.378  0.668  0.770
Se  0.878  0.332  0.270
Se  0.878  0.332  0.730
Se  0.378  0.668  0.230

Record 3
VASP calculation (GGA-PBE) on a geometry-optimized Ag2SnCl2 structure.

Values from the calculation:
relative energy among the computed polymorphs: 8.68 kJ/mol of atoms
space-group type: P4/mbm (127)

Lattice parameters (Å, degrees): 8.233 8.233 3.309 90.00 90.00 90.00
Element x y z (fractional)
Sn  0.000  0.000  0.000
Sn  0.500  0.500  0.000
Ag  0.360  0.860  0.000
Ag  0.860  0.640  0.000
Ag  0.640  0.140  0.000
Ag  0.140  0.360  0.000
Cl  0.152  0.652  0.500
Cl  0.652  0.848  0.500
Cl  0.848  0.348  0.500
Cl  0.348  0.152  0.500

no.,V (Å³ per atom),electronic total energy (Ry/atom),N(E_F) (states/eV per atom)
1,18.71,-0.5488,1.3502
2,29.22,-0.2451,0.4785
3,22.43,-0.1988,0.4397